# TaGeSbS2 (PBE-GGA, optimized geometry)
data_TaGeSbS2
_chemical_formula_sum 'Ta1 Ge1 Sb1 S2'
_space_group_name_H-M_alt 'P 4/m m m'
_space_group_IT_number 123
_space_group_name_Hall '-P 4 2'
_cell_length_a 4.932
_cell_length_b 4.932
_cell_length_c 5.431
_cell_angle_alpha 90.00
_cell_angle_beta 90.00
_cell_angle_gamma 90.00
loop_
_atom_site_label
_atom_site_type_symbol
_atom_site_fract_x
_atom_site_fract_y
_atom_site_fract_z
Ta1 Ta 0.000 0.000 0.000
Ge1 Ge 0.500 0.500 0.000
Sb1 Sb 0.000 0.000 0.500
S1 S 0.000 0.500 0.500
# DOS at the Fermi energy = 4.2 states/eV/f.u.
# E_form (uncorrected) = 1.2747 eV/atom

***

# CaZr2TaBr (PBE-GGA, optimized geometry)
data_CaZr2TaBr
_chemical_formula_sum 'Ca1 Zr2 Ta1 Br1'
_space_group_name_H-M_alt 'P 4/m m m'
_space_group_IT_number 123
_space_group_name_Hall '-P 4 2'
_cell_length_a 5.014
_cell_length_b 5.014
_cell_length_c 5.066
_cell_angle_alpha 90.00
_cell_angle_beta 90.00
_cell_angle_gamma 90.00
loop_
_atom_site_label
_atom_site_type_symbol
_atom_site_fract_x
_atom_site_fract_y
_atom_site_fract_z
Ca1 Ca 0.000 0.000 0.000
Zr1 Zr 0.000 0.500 0.500
Ta1 Ta 0.500 0.500 0.000
Br1 Br 0.000 0.000 0.500
# DOS at the Fermi energy = 5.5 states/eV/f.u.
# E_form (uncorrected) = 0.6764 eV/atom

***

# Pu2Ni3Os (PBE-GGA, optimized geometry)
data_Pu2Ni3Os
_chemical_formula_sum 'Pu4 Ni6 Os2'
_space_group_name_H-M_alt 'C 1 2/m 1'
_space_group_IT_number 12
_cell_length_a 8.718
_cell_length_b 5.042
_cell_length_c 5.196
_cell_angle_alpha 90.00
_cell_angle_beta 123.99
_cell_angle_gamma 90.00
loop_
_space_group_symop_operation_xyz
'x,y,z'
'-x,-y,-z'
'-x,y,-z'
'x,-y,z'
'x+1/2,y+1/2,z'
'-x+1/2,-y+1/2,-z'
'-x+1/2,y+1/2,-z'
'x+1/2,-y+1/2,z'
loop_
_atom_site_label
_atom_site_type_symbol
_atom_site_fract_x
_atom_site_fract_y
_atom_site_fract_z
Pu1 Pu 0.126 0.000 0.379
Ni1 Ni 0.000 0.500 0.000
Ni2 Ni 0.250 0.250 0.000
Os1 Os 0.000 0.500 0.500
# DOS at the Fermi energy = 15.4 states/eV/f.u.
# energy = -9.770 eV/atom

***

# TbFe10Si2 (PBE-GGA, optimized geometry)
data_TbFe10Si2
_chemical_formula_sum 'Tb4 Fe40 Si8'
_space_group_name_H-M_alt 'C m c m'
_space_group_IT_number 63
_space_group_name_Hall '-C 2c 2'
_cell_length_a 8.325
_cell_length_b 9.573
_cell_length_c 8.192
_cell_angle_alpha 90.00
_cell_angle_beta 90.00
_cell_angle_gamma 90.00
loop_
_atom_site_label
_atom_site_type_symbol
_atom_site_fract_x
_atom_site_fract_y
_atom_site_fract_z
Tb1 Tb 0.000 0.124 0.250
Fe1 Fe 0.000 0.159 0.601
Fe2 Fe 0.000 0.393 0.075
Fe3 Fe 0.140 0.380 0.750
Fe4 Fe 0.229 0.000 0.000
Fe5 Fe 0.242 0.372 0.250
Si1 Si 0.250 0.250 0.000
# E above lowest polymorph = 0.010 eV/atom
# DOS at the Fermi energy = 10.7 states/eV/f.u.
# E_form (uncorrected) = -0.2339 eV/atom

***

# La5CuHg2 (PBE-GGA, optimized geometry)
data_La5CuHg2
_chemical_formula_sum 'La10 Cu2 Hg4'
_space_group_name_H-M_alt 'P b a m'
_space_group_IT_number 55
_cell_length_a 6.849
_cell_length_b 13.111
_cell_length_c 5.381
_cell_angle_alpha 90.00
_cell_angle_beta 90.00
_cell_angle_gamma 90.00
loop_
_space_group_symop_operation_xyz
'x,y,z'
'-x,-y,-z'
'-x,-y,z'
'x,y,-z'
'x+1/2,-y+1/2,-z'
'-x+1/2,y+1/2,z'
'-x+1/2,y+1/2,-z'
'x+1/2,-y+1/2,z'
loop_
_atom_site_label
_atom_site_type_symbol
_atom_site_fract_x
_atom_site_fract_y
_atom_site_fract_z
La1 La 0.000 0.000 0.000
La2 La 0.134 0.287 0.000
La3 La 0.151 0.598 0.500
Cu1 Cu 0.000 0.500 0.000
Hg1 Hg 0.118 0.853 0.500
# DOS at the Fermi energy = 10.7 states/eV/f.u.
# energy = -3.940 eV/atom

***

# Gd2AgTe (PBE-GGA, optimized geometry)
data_Gd2AgTe
_chemical_formula_sum 'Gd2 Ag1 Te1'
_space_group_name_H-M_alt 'P 4/m m m'
_space_group_IT_number 123
_space_group_name_Hall '-P 4 2'
_cell_length_a 3.860
_cell_length_b 3.860
_cell_length_c 7.058
_cell_angle_alpha 90.00
_cell_angle_beta 90.00
_cell_angle_gamma 90.00
loop_
_atom_site_label
_atom_site_type_symbol
_atom_site_fract_x
_atom_site_fract_y
_atom_site_fract_z
Gd1 Gd 0.000 0.000 0.246
Ag1 Ag 0.500 0.500 0.000
Te1 Te 0.500 0.500 0.500
# E above lowest polymorph = 0.000 eV/atom
# DOS at the Fermi energy = 5.5 states/eV/f.u.
# E_form (uncorrected) = -0.7456 eV/atom

***

# CdPb2SeO6 (PBE-GGA, optimized geometry)
data_CdPb2SeO6
_chemical_formula_sum 'Cd2 Pb4 Se2 O12'
_space_group_name_H-M_alt 'P 1 21/c 1'
_space_group_IT_number 14
_cell_length_a 5.616
_cell_length_b 6.020
_cell_length_c 9.945
_cell_angle_alpha 90.00
_cell_angle_beta 124.32
_cell_angle_gamma 90.00
loop_
_space_group_symop_operation_xyz
'x,y,z'
'-x,-y,-z'
'-x,y+1/2,-z+1/2'
'x,-y+1/2,z+1/2'
loop_
_atom_site_label
_atom_site_type_symbol
_atom_site_fract_x
_atom_site_fract_y
_atom_site_fract_z
Cd1 Cd 0.000 0.000 0.000
Pb1 Pb 0.243 0.039 0.738
Se1 Se 0.500 0.000 0.500
O1 O 0.221 0.044 0.279
O2 O 0.241 0.678 0.014
O3 O 0.360 0.242 0.548
# E_form (uncorrected) = -0.8671 eV/atom

***

# LaSc2Au2 (PBE-GGA, optimized geometry)
data_LaSc2Au2
_chemical_formula_sum 'La2 Sc4 Au4'
_space_group_name_H-M_alt 'P 4/m b m'
_space_group_IT_number 127
_space_group_name_Hall '-P 4 2ab'
_cell_length_a 8.138
_cell_length_b 8.138
_cell_length_c 3.535
_cell_angle_alpha 90.00
_cell_angle_beta 90.00
_cell_angle_gamma 90.00
loop_
_atom_site_label
_atom_site_type_symbol
_atom_site_fract_x
_atom_site_fract_y
_atom_site_fract_z
La1 La 0.000 0.000 0.000
Sc1 Sc 0.158 0.342 0.500
Au1 Au 0.129 0.629 0.000
# E above lowest polymorph = 0.029 eV/atom
# DOS at the Fermi energy = 5.1 states/eV/f.u.